Pr2Dy5Y | Alexandria | GGA-PBE | relaxed; magnetization = 0.000 μB/atom; raw total energy = -4.86 eV/atom; D(E_F) = 1.40 states/eV/atom; space group = Pbam (55)
1.0
7.179 0.000 0.000
0.000 14.359 0.000
0.000 0.000 5.074
Pr Dy Y
4 10 2
Cartesian
1.793 1.801 0.000
1.797 8.981 0.000
5.383 5.379 0.000
5.386 12.558 0.000
0.000 0.000 2.537
0.005 3.584 2.537
1.786 12.559 0.000
1.803 5.379 0.000
3.585 10.764 2.537
3.590 7.180 2.537
3.595 3.596 2.537
5.376 8.980 0.000
5.393 1.800 0.000
7.174 10.775 2.537
0.000 7.180 2.537
3.590 0.000 2.537